[1]
Compound: Cs2CoSnPd
Source: Alexandria via LeMat-Bulk
Functional: GGA-PBE
Structure: optimized geometry

a b c (Å): 6.093 4.960 6.093
angles (deg): 90.00 90.00 90.00
Sites, in units of the cell vectors:
Cs 0.000 0.000 0.500
Cs 0.500 0.000 0.000
Co 0.000 0.000 0.000
Sn 0.000 0.500 0.000
Pd 0.500 0.500 0.500

## Properties
D(E_F) ... 3.31 states/eV/cell
Crystal system ... tetragonal
Total DFT energy (no corrections) ... -2.956 eV per atom
ΔE_f ... 3.227 eV per formula unit

[2]
Compound: BaSr2Ca
Source: Alexandria via LeMat-Bulk
Functional: GGA-PBE
Structure: optimized geometry

a b c (Å): 6.674 6.674 6.674
angles (deg): 60.00 60.00 60.00
Sites, in units of the cell vectors:
Sr 0.250 0.250 0.250
Sr 0.750 0.750 0.750
Ca 0.000 0.000 0.000
Ba 0.500 0.500 0.500

## Properties
D(E_F) ... 2.33 states/eV/cell
Crystal system ... cubic
Total DFT energy (no corrections) ... -1.806 eV per atom
ΔE_f ... 0.066 eV per formula unit
ΔE to the lowest computed polymorph ... 0 meV/atom